A plane-wave DFT calculation with PBE-GGA was carried out for a geometry-optimized La2TbTm4 structure.

Values from the calculation:
The density of states at the Fermi level comes out at 10.664 states/eV/cell. The value obtained for the formation energy is 0.5895 eV per atom. As for the energy relative to the lowest polymorph listed for this composition: 549 meV/atom. The calculation puts the total energy at -4.035 eV/atom.

a b c (Å): 9.266 9.266 9.266
angles (deg): 144.68 144.68 50.82
Positions (direct):
1 La 0.181 0.181 0.000
2 La 0.819 0.819 0.000
3 Tb 0.000 0.000 0.000
4 Tm 0.000 0.500 0.500
5 Tm 0.394 0.394 0.000
6 Tm 0.500 0.000 0.500
7 Tm 0.606 0.606 0.000